Compound: CdB4Ir5
Source: Alexandria via LeMat-Bulk
Functional: PBE
Structure: optimized geometry

- space group = P2_1/m
- calculated volume (Å³/cell) = 263
- ΔH_f (0 K) (eV per atom) = -0.05

abc: 5.507 5.771 8.433
angles: 90.00 79.11 90.00
Fractional positions:
Cd 0.927 0.000 0.012
Cd 0.073 0.500 0.488
B 0.022 0.000 0.656
B 0.429 0.742 0.947
B 0.429 0.258 0.947
B 0.014 0.000 0.334
B 0.986 0.500 0.166
B 0.571 0.758 0.553
B 0.571 0.242 0.553
B 0.978 0.500 0.844
Ir 0.253 0.747 0.747
Ir 0.253 0.253 0.747
Ir 0.674 0.500 0.040
Ir 0.259 0.749 0.188
Ir 0.259 0.251 0.188
Ir 0.741 0.751 0.312
Ir 0.741 0.249 0.312
Ir 0.326 0.000 0.460
Ir 0.747 0.247 0.753
Ir 0.747 0.753 0.753

---

Compound: CdBIr3
Source: Alexandria via LeMat-Bulk
Functional: PBE
Structure: optimized geometry

- space group = Pm-3m
- calculated volume (Å³/cell) = 73
- ΔH_f (0 K) (eV per atom) = 0.04
- distance to the lowest polymorph of the same formula (meV per atom) = 0

abc: 4.172 4.172 4.172
angles: 90.00 90.00 90.00
Fractional positions:
B 0.000 0.000 0.000
Ir 0.000 0.500 0.000
Ir 0.000 0.000 0.500
Ir 0.500 0.000 0.000
Cd 0.500 0.500 0.500

---

Compound: Cd2BIr
Source: Alexandria via LeMat-Bulk
Functional: PBE
Structure: optimized geometry

- space group = I4_1/amd
- calculated volume (Å³/cell) = 175
- ΔH_f (0 K) (eV per atom) = 0.40

abc: 9.322 9.322 6.893
angles: 47.46 47.46 90.00
Fractional positions:
B 0.500 0.500 0.000
B 0.250 0.750 0.500
Ir 0.000 0.000 0.000
Ir 0.750 0.250 0.500
Cd 0.375 0.125 0.250
Cd 0.375 0.625 0.250
Cd 0.375 0.625 0.750
Cd 0.875 0.625 0.750

---

Compound: CdBIr3
Source: Alexandria via LeMat-Bulk
Functional: PBE
Structure: optimized geometry

- space group = Pm-3m
- calculated volume (Å³/cell) = 116
- ΔH_f (0 K) (eV per atom) = 3.25
- distance to the lowest polymorph of the same formula (meV per atom) = 3214

abc: 4.876 4.876 4.876
angles: 90.00 90.00 90.00
Fractional positions:
B 0.500 0.500 0.500
Ir 0.000 0.500 0.000
Ir 0.000 0.000 0.500
Ir 0.500 0.000 0.000
Cd 0.000 0.000 0.000

---

Compound: CdBIr2
Source: Alexandria via LeMat-Bulk
Functional: PBE
Structure: optimized geometry

- space group = I-42d
- calculated volume (Å³/cell) = 149
- ΔH_f (0 K) (eV per atom) = 0.54
- distance to the lowest polymorph of the same formula (meV per atom) = 601

abc: 4.762 4.762 7.382
angles: 71.18 71.18 90.00
Fractional positions:
B 0.500 0.500 0.000
B 0.250 0.750 0.500
Ir 0.466 0.125 0.250
Ir 0.284 0.625 0.250
Ir 0.375 0.534 0.750
Ir 0.875 0.716 0.750
Cd 0.000 0.000 0.000
Cd 0.750 0.250 0.500

---

Compound: CdBIr2
Source: Alexandria via LeMat-Bulk
Functional: PBE
Structure: optimized geometry

- space group = Fm-3m
- calculated volume (Å³/cell) = 56
- ΔH_f (0 K) (eV per atom) = 0.77
- distance to the lowest polymorph of the same formula (meV per atom) = 826

abc: 4.287 4.287 4.287
angles: 60.00 60.00 60.00
Fractional positions:
B 0.000 0.000 0.000
Ir 0.250 0.250 0.250
Ir 0.750 0.750 0.750
Cd 0.500 0.500 0.500

---

Compound: CdBIr2
Source: Alexandria via LeMat-Bulk
Functional: PBE
Structure: optimized geometry

- space group = R3m
- calculated volume (Å³/cell) = 56
- ΔH_f (0 K) (eV per atom) = -0.03
- distance to the lowest polymorph of the same formula (meV per atom) = 33

abc: 2.875 2.875 7.945
angles: 79.58 79.58 60.00
Fractional positions:
Cd 0.500 0.500 0.500
B 0.667 0.667 0.000
Ir 0.061 0.061 0.816
Ir 0.272 0.272 0.184

---

Compound: CdB3Ir
Source: Alexandria via LeMat-Bulk
Functional: PBE
Structure: optimized geometry

- space group = Pm-3m
- calculated volume (Å³/cell) = 74
- ΔH_f (0 K) (eV per atom) = 0.91
- distance to the lowest polymorph of the same formula (meV per atom) = 0

abc: 4.195 4.195 4.195
angles: 90.00 90.00 90.00
Fractional positions:
B 0.000 0.500 0.000
B 0.000 0.000 0.500
B 0.500 0.000 0.000
Ir 0.000 0.000 0.000
Cd 0.500 0.500 0.500